1.
Here is a relaxed structure of Mg3Si2H4O9 from the Alexandria database. Energies are from PBE-GGA.

Computed properties:
The value obtained for the density of states at the Fermi level is 0.00 states/eV/cell. For the raw total energy, the calculation gives -6.34 eV per atom. The magnetization is 0.0 μB per formula unit.

CIF file:
```
data_Mg3Si2H4O9
_chemical_formula_sum 'Mg3 Si2 H4 O9'
_cell_length_a 5.3698
_cell_length_b 5.3698
_cell_length_c 7.4150
_cell_angle_alpha 90.00
_cell_angle_beta 90.00
_cell_angle_gamma 120.00
_space_group_name_H-M_alt 'P 3 1 m'
_space_group_IT_number 157
loop_
_space_group_symop_operation_xyz
'x,y,z'
'-y,x-y,z'
'-x+y,-x,z'
'y,x,z'
'x-y,-y,z'
'-x,-x+y,z'
loop_
_atom_site_label
_atom_site_type_symbol
_atom_site_fract_x
_atom_site_fract_y
_atom_site_fract_z
_atom_site_occupancy
Mg1 Mg 0.0000 0.6688 0.0000 1
Si1 Si 0.3333 0.6667 0.6207 1
H1 H 0.0000 0.0000 0.7196 1
H2 H 0.0000 0.3489 0.2629 1
O1 O 0.0000 0.0000 0.8501 1
O2 O 0.0000 0.3356 0.1322 1
O3 O 0.0000 0.4882 0.5382 1
O4 O 0.3333 0.6667 0.8379 1
```

=====

2.
Here is a relaxed structure of MnOsPt2 from the Alexandria database. Energies are from PBE-GGA.

Computed properties:
The value obtained for the density of states at the Fermi level is 5.77 states/eV/cell. For the raw total energy, the calculation gives -8.19 eV per atom. The magnetization is 2.9 μB per formula unit. As for the formation energy: -0.07 eV/atom.

CIF file:
```
data_MnOsPt2
_chemical_formula_sum 'Mn2 Os2 Pt4'
_cell_length_a 3.8393
_cell_length_b 3.8393
_cell_length_c 7.8963
_cell_angle_alpha 90.00
_cell_angle_beta 90.00
_cell_angle_gamma 90.00
_space_group_name_H-M_alt 'I 4/m m m'
_space_group_IT_number 139
_space_group_name_Hall '-I 4 2'
loop_
_atom_site_label
_atom_site_type_symbol
_atom_site_fract_x
_atom_site_fract_y
_atom_site_fract_z
_atom_site_occupancy
Mn1 Mn 0.0000 0.0000 0.0000 1
Os1 Os 0.0000 0.0000 0.5000 1
Pt1 Pt 0.0000 0.5000 0.2500 1
```

=====

3.
Here is a relaxed structure of MnWCl from the Alexandria database. Energies are from PBE-GGA.

Computed properties:
The value obtained for the density of states at the Fermi level is 8.30 states/eV/cell. For the raw total energy, the calculation gives -7.55 eV per atom. The magnetization is 2.3 μB per formula unit. The raw formation energy is 0.440 eV per atom.

CIF file:
```
data_MnWCl
_chemical_formula_sum 'Mn4 W4 Cl4'
_cell_length_a 3.0806
_cell_length_b 5.0242
_cell_length_c 12.5196
_cell_angle_alpha 90.00
_cell_angle_beta 90.00
_cell_angle_gamma 90.00
_space_group_name_H-M_alt 'F m m 2'
_space_group_IT_number 42
_space_group_name_Hall 'F 2 -2'
loop_
_atom_site_label
_atom_site_type_symbol
_atom_site_fract_x
_atom_site_fract_y
_atom_site_fract_z
_atom_site_occupancy
Mn1 Mn 0.0000 0.0000 0.0000 1
W1 W 0.0000 0.0000 0.6507 1
Cl1 Cl 0.0000 0.0000 0.3394 1
```

=====

4.
Here is a relaxed structure of Ce3ThPt12 from the Alexandria database. Energies are from PBE-GGA.

Computed properties:
The value obtained for the density of states at the Fermi level is 9.60 states/eV/cell. For the raw total energy, the calculation gives -7.12 eV per atom. The magnetization is 0.8 μB per formula unit. As for the formation energy: -1.02 eV/atom.

CIF file:
```
data_Ce3ThPt12
_chemical_formula_sum 'Ce3 Th1 Pt12'
_cell_length_a 4.1898
_cell_length_b 4.1898
_cell_length_c 16.7454
_cell_angle_alpha 90.00
_cell_angle_beta 90.00
_cell_angle_gamma 90.00
_space_group_name_H-M_alt 'P 4/m m m'
_space_group_IT_number 123
_space_group_name_Hall '-P 4 2'
loop_
_atom_site_label
_atom_site_type_symbol
_atom_site_fract_x
_atom_site_fract_y
_atom_site_fract_z
_atom_site_occupancy
Ce1 Ce 0.0000 0.0000 0.0000 1
Ce2 Ce 0.0000 0.0000 0.2474 1
Th1 Th 0.0000 0.0000 0.5000 1
Pt1 Pt 0.0000 0.5000 0.1242 1
Pt2 Pt 0.0000 0.5000 0.3726 1
Pt3 Pt 0.5000 0.5000 0.0000 1
Pt4 Pt 0.5000 0.5000 0.2489 1
Pt5 Pt 0.5000 0.5000 0.5000 1
```